# TcSbIr2, relaxed, DFT GGA-PBE
data_TcSbIr2
_chemical_formula_sum 'Tc2 Sb2 Ir4'
_cell_length_a 4.0627
_cell_length_b 4.0627
_cell_length_c 7.6753
_cell_angle_alpha 90.00
_cell_angle_beta 90.00
_cell_angle_gamma 90.00
_space_group_name_H-M_alt 'I -4 m 2'
_space_group_IT_number 119
_space_group_name_Hall 'I -4 -2'
loop_
_atom_site_label
_atom_site_type_symbol
_atom_site_fract_x
_atom_site_fract_y
_atom_site_fract_z
Tc1 Tc 0.0000 0.0000 0.0000
Sb1 Sb 0.0000 0.5000 0.2500
Ir1 Ir 0.0000 0.0000 0.5000
Ir2 Ir 0.0000 0.5000 0.7500
# * formation energy from raw total energies: 0.145 eV per atom
# * magnetic moment: 0.0 μB/f.u.